Here is a geometry-optimized FeCo2N structure from Alexandria. Energies are from PBE.

abc: 6.1972 6.1972 4.8812
angles: 50.60 50.60 90.00
Each line ends with the local moment (μB).
Positions (direct):
1 Co 0.5119 0.1250 0.2500  0.70
2 Co 0.2381 0.6250 0.2500  0.68
3 Co 0.8750 0.7619 0.7500  0.70
4 Co 0.3750 0.4881 0.7500  0.71
5 N 0.5000 0.5000 0.0000  -0.04
6 N 0.2500 0.7500 0.5000  -0.04
7 Fe 0.7500 0.2500 0.5000  2.69
8 Fe 0.0000 0.0000 0.0000  2.68



Here is a geometry-optimized Fe2CoN structure from Alexandria. Energies are from PBE.

abc: 2.6818 2.6818 7.0781
angles: 79.08 79.08 60.00
Each line ends with the local moment (μB).
Positions (direct):
1 Fe 0.1124 0.1124 0.6629  1.60
2 Fe 0.8876 0.8876 0.3371  1.60
3 Co 0.0000 0.0000 0.0000  1.96
4 N 0.5000 0.5000 0.5000  -0.03



Here is a geometry-optimized Fe2CoN structure from Alexandria. Energies are from PBE.

abc: 2.6743 2.6743 6.5488
angles: 78.22 78.22 60.00
Each line ends with the local moment (μB).
Positions (direct):
1 N 0.6641 0.6641 0.0077  -0.03
2 Co 0.5004 0.5004 0.4988  1.77
3 Fe 0.2721 0.2721 0.1838  1.44
4 Fe 0.0634 0.0634 0.8097  2.12



Here is a geometry-optimized FeCoN2 structure from Alexandria. Energies are from PBE.

abc: 4.2457 4.2457 5.1923
angles: 114.13 114.13 90.00
Positions (direct):
1 Co 0.5000 0.5000 0.0000
2 Co 0.2500 0.7500 0.5000
3 Fe 0.0000 0.0000 0.0000
4 Fe 0.7500 0.2500 0.5000
5 N 0.3750 0.8825 0.2500
6 N 0.8750 0.3675 0.2500
7 N 0.1175 0.1250 0.7500
8 N 0.6325 0.6250 0.7500

The offset from the most stable computed form comes out at 0 meV/atom.



Here is a geometry-optimized Fe2CoN2 structure from Alexandria. Energies are from PBE.

abc: 6.1260 6.1260 6.1260
angles: 153.37 153.37 38.01
Each line ends with the local moment (μB).
Positions (direct):
1 Co 0.5000 0.5000 0.0000  1.17
2 N 0.6600 0.6600 0.0000  0.08
3 N 0.3400 0.3400 0.0000  0.08
4 Fe 0.8413 0.8413 0.0000  2.25
5 Fe 0.1587 0.1587 0.0000  2.25

The offset from the most stable computed form comes out at 0 meV/atom.



Here is a geometry-optimized Fe3CoN structure from Alexandria. Energies are from PBE.

abc: 4.2971 4.2971 4.2971
angles: 90.00 90.00 90.00
Each line ends with the local moment (μB).
Positions (direct):
1 Fe 0.0000 0.5000 0.0000  3.18
2 Fe 0.5000 0.0000 0.0000  2.90
3 Fe 0.0000 0.0000 0.5000  3.38
4 Co 0.0000 0.0000 0.0000  1.54
5 N 0.5000 0.5000 0.5000  0.63



Here is a geometry-optimized FeCoN2 structure from Alexandria. Energies are from PBE.

abc: 3.5685 3.5685 3.5685
angles: 60.00 60.00 60.00
Each line ends with the local moment (μB).
Positions (direct):
1 N 0.7500 0.7500 0.7500  -0.04
2 N 0.2500 0.2500 0.2500  -0.04
3 Co 0.5000 0.5000 0.5000  0.82
4 Fe 0.0000 0.0000 0.0000  2.20

The offset from the most stable computed form comes out at 894 meV/atom.



Here is a geometry-optimized Fe3Co8N8 structure from Alexandria. Energies are from PBE.

abc: 7.7289 3.8031 6.2667
angles: 90.00 72.81 75.76
Each line ends with the local moment (μB).
Positions (direct):
1 N 0.6101 0.1949 0.4102  0.01
2 N 0.7291 0.6354 0.6969  -0.01
3 N 0.2709 0.3646 0.3031  -0.01
4 N 0.0779 0.4610 0.7742  0.01
5 N 0.3899 0.8051 0.5898  0.01
6 N 0.7617 0.1192 0.9420  -0.02
7 N 0.9221 0.5390 0.2258  0.01
8 N 0.2383 0.8808 0.0580  -0.02
9 Co 0.3467 0.3266 0.5816  -0.36
10 Co 0.7117 0.1442 0.6585  -0.04
11 Co 0.8053 0.5973 0.9759  -0.22
12 Co 0.6533 0.6734 0.4184  -0.36
13 Co 0.9905 0.0047 0.2061  0.04
14 Co 0.0095 0.9953 0.7939  0.04
15 Co 0.1947 0.4027 0.0241  -0.22
16 Co 0.2883 0.8558 0.3415  -0.04
17 Fe 0.4615 0.7693 0.8396  1.19
18 Fe 0.0000 0.5000 0.5000  2.20
19 Fe 0.5385 0.2307 0.1604  1.19



Here is a geometry-optimized FeCo10N8 structure from Alexandria. Energies are from PBE.

abc: 7.2911 3.9347 6.3497
angles: 90.00 73.99 74.35
Each line ends with the local moment (μB).
Positions (direct):
1 N 0.3590 0.8205 0.5839  0.00
2 N 0.0865 0.4567 0.7602  0.00
3 N 0.9135 0.5433 0.2398  0.00
4 N 0.2786 0.3607 0.2805  0.00
5 N 0.6410 0.1795 0.4161  0.00
6 N 0.7988 0.1006 0.9441  0.00
7 N 0.7214 0.6393 0.7195  0.00
8 N 0.2012 0.8994 0.0559  0.00
9 Co 0.4428 0.7786 0.8363  -0.09
10 Co 0.1918 0.4041 0.0093  -0.10
11 Co 0.0903 0.9548 0.7994  -0.14
12 Co 0.7168 0.1416 0.6785  0.05
13 Co 0.5572 0.2214 0.1637  -0.09
14 Co 0.6495 0.6752 0.4481  0.00
15 Co 0.9097 0.0452 0.2006  -0.14
16 Co 0.8082 0.5959 0.9907  -0.10
17 Co 0.3505 0.3248 0.5519  0.00
18 Co 0.2832 0.8584 0.3215  0.05
19 Fe 0.0000 0.5000 0.5000  1.94



Here is a geometry-optimized Fe2CoN2 structure from Alexandria. Energies are from PBE.

abc: 3.0842 3.0842 5.2700
angles: 81.12 81.12 69.70
Positions (direct):
1 N 0.2741 0.2741 0.2128
2 N 0.7259 0.7259 0.7872
3 Co 0.0000 0.0000 0.5000
4 Fe 0.6476 0.6476 0.1665
5 Fe 0.3524 0.3524 0.8335

The offset from the most stable computed form comes out at 42 meV/atom.



Here is a geometry-optimized Fe3CoN structure from Alexandria. Energies are from PBE.

abc: 3.6720 3.6720 3.6720
angles: 90.00 90.00 90.00
Positions (direct):
1 Fe 0.5000 0.0000 0.5000
2 Fe 0.0000 0.5000 0.5000
3 Fe 0.5000 0.5000 0.0000
4 Co 0.0000 0.0000 0.0000
5 N 0.5000 0.5000 0.5000



Here is a geometry-optimized Fe2CoN structure from Alexandria. Energies are from PBE.

abc: 6.4600 6.4600 4.9916
angles: 49.68 49.68 90.00
Each line ends with the local moment (μB).
Positions (direct):
1 Co 0.0000 0.0000 0.0000  1.41
2 Co 0.7500 0.2500 0.5000  1.39
3 Fe 0.8750 0.7584 0.7500  2.10
4 Fe 0.5084 0.1250 0.2500  2.04
5 Fe 0.3750 0.4916 0.7500  2.07
6 Fe 0.2416 0.6250 0.2500  2.08
7 N 0.5000 0.5000 0.0000  -0.05
8 N 0.2500 0.7500 0.5000  -0.05



Here is a geometry-optimized FeCo2NiN structure from Alexandria. Energies are from PBE.

abc: 3.7375 3.7375 3.7635
angles: 90.00 90.00 90.00
Each line ends with the local moment (μB).
Positions (direct):
1 Co 0.5000 0.0000 0.0000  1.39
2 Co 0.0000 0.5000 0.0000  1.39
3 N 0.0000 0.0000 0.0000  0.10
4 Ni 0.0000 0.0000 0.5000  0.47
5 Fe 0.5000 0.5000 0.5000  3.10

The offset from the most stable computed form comes out at 55 meV/atom.



Here is a geometry-optimized FeCo2NiN structure from Alexandria. Energies are from PBE.

abc: 3.7106 3.7106 3.7912
angles: 90.00 90.00 90.00
Each line ends with the local moment (μB).
Positions (direct):
1 Co 0.5000 0.0000 0.0000  1.36
2 Co 0.0000 0.5000 0.0000  1.36
3 N 0.0000 0.0000 0.0000  0.04
4 Ni 0.5000 0.5000 0.5000  0.83
5 Fe 0.0000 0.0000 0.5000  2.53

The offset from the most stable computed form comes out at 0 meV/atom.



Here is a geometry-optimized FeCoNi2N structure from Alexandria. Energies are from PBE.

abc: 3.7693 3.7693 3.7206
angles: 90.00 90.00 90.00
Each line ends with the local moment (μB).
Positions (direct):
1 Ni 0.5000 0.0000 0.0000  0.44
2 Ni 0.0000 0.5000 0.0000  0.44
3 Co 0.0000 0.0000 0.5000  1.48
4 Fe 0.5000 0.5000 0.5000  3.09
5 N 0.0000 0.0000 0.0000  0.09

The offset from the most stable computed form comes out at 26 meV/atom.



Here is a geometry-optimized FeCoNi2N structure from Alexandria. Energies are from PBE.

abc: 3.7273 3.7273 3.7878
angles: 90.00 90.00 90.00
Each line ends with the local moment (μB).
Positions (direct):
1 Fe 0.0000 0.0000 0.5000  2.53
2 N 0.0000 0.0000 0.0000  0.02
3 Co 0.5000 0.5000 0.5000  1.89
4 Ni 0.5000 0.0000 0.0000  0.36
5 Ni 0.0000 0.5000 0.0000  0.36

The offset from the most stable computed form comes out at 0 meV/atom.



Here is a geometry-optimized Pa2FeCoN5 structure from Alexandria. Energies are from PBE.

abc: 3.2716 7.0862 8.7661
angles: 90.00 90.00 103.35
Positions (direct):
1 Pa 0.8668 0.7336 0.1937
2 Pa 0.1332 0.2664 0.6937
3 Pa 0.8936 0.7873 0.7941
4 Pa 0.1064 0.2127 0.2941
5 N 0.6919 0.3839 0.1374
6 N 0.6454 0.2908 0.4971
7 N 0.3546 0.7092 0.9971
8 N 0.4830 0.9660 0.2935
9 N 0.0179 0.0357 0.0553
10 N 0.9821 0.9643 0.5553
11 N 0.5170 0.0340 0.7935
12 N 0.3081 0.6161 0.6374
13 N 0.2969 0.5938 0.3671
14 N 0.7031 0.4062 0.8671
15 Fe 0.2175 0.4350 0.9981
16 Fe 0.7825 0.5650 0.4981
17 Co 0.5866 0.1732 0.9875
18 Co 0.4134 0.8268 0.4875



Here is a geometry-optimized FeCo2PtN structure from Alexandria. Energies are from PBE.

abc: 3.7980 3.7980 3.8799
angles: 90.00 90.00 90.00
Each line ends with the local moment (μB).
Positions (direct):
1 N 0.0000 0.0000 0.0000  0.04
2 Pt 0.5000 0.5000 0.5000  0.43
3 Co 0.0000 0.5000 0.0000  1.50
4 Co 0.5000 0.0000 0.0000  1.50
5 Fe 0.0000 0.0000 0.5000  2.71



Here is a geometry-optimized Fe2CoPtN structure from Alexandria. Energies are from PBE.

abc: 3.8684 3.8684 3.7904
angles: 90.00 90.00 90.00
Each line ends with the local moment (μB).
Positions (direct):
1 Fe 0.5000 0.0000 0.0000  2.64
2 Fe 0.0000 0.5000 0.0000  2.64
3 Pt 0.5000 0.5000 0.5000  0.45
4 N 0.0000 0.0000 0.0000  0.03
5 Co 0.0000 0.0000 0.5000  1.41



Here is a geometry-optimized Rb2FeCoN structure from Alexandria. Energies are from PBE.

abc: 6.3404 4.3605 6.3404
angles: 90.00 90.00 90.00
Each line ends with the local moment (μB).
Positions (direct):
1 N 0.5000 0.5000 0.5000  -0.20
2 Co 0.0000 0.0000 0.0000  1.66
3 Fe 0.0000 0.5000 0.0000  3.00
4 Rb 0.5000 0.0000 0.0000  0.00
5 Rb 0.0000 0.0000 0.5000  0.00



Here is a geometry-optimized FeCo2RhN structure from Alexandria. Energies are from PBE.

abc: 3.7766 3.7766 3.8799
angles: 90.00 90.00 90.00
Each line ends with the local moment (μB).
Positions (direct):
1 Fe 0.0000 0.0000 0.5000  2.72
2 N 0.0000 0.0000 0.0000  0.07
3 Co 0.0000 0.5000 0.0000  1.59
4 Co 0.5000 0.0000 0.0000  1.59
5 Rh 0.5000 0.5000 0.5000  1.05

The offset from the most stable computed form comes out at 0 meV/atom.



Here is a geometry-optimized FeCo2RhN structure from Alexandria. Energies are from PBE.

abc: 3.7537 4.0664 3.7537
angles: 90.00 90.00 90.00
Each line ends with the local moment (μB).
Positions (direct):
1 Fe 0.5000 0.5000 0.5000  3.22
2 Rh 0.0000 0.5000 0.0000  0.69
3 Co 0.5000 0.0000 0.0000  1.63
4 Co 0.0000 0.0000 0.5000  1.32
5 N 0.0000 0.0000 0.0000  0.10

The offset from the most stable computed form comes out at 111 meV/atom.



Here is a geometry-optimized Fe2CoRhN structure from Alexandria. Energies are from PBE.

abc: 3.8589 3.8589 3.7568
angles: 90.00 90.00 90.00
Each line ends with the local moment (μB).
Positions (direct):
1 N 0.0000 0.0000 0.0000  0.04
2 Rh 0.5000 0.5000 0.5000  0.98
3 Co 0.0000 0.0000 0.5000  1.44
4 Fe 0.0000 0.5000 0.0000  2.64
5 Fe 0.5000 0.0000 0.0000  2.64

The offset from the most stable computed form comes out at 0 meV/atom.



Here is a geometry-optimized Fe2CoRhN structure from Alexandria. Energies are from PBE.

abc: 3.8017 3.8017 3.9975
angles: 90.00 90.00 90.00
Each line ends with the local moment (μB).
Positions (direct):
1 Rh 0.0000 0.0000 0.5000  0.38
2 N 0.0000 0.0000 0.0000  0.00
3 Co 0.5000 0.5000 0.5000  1.99
4 Fe 0.5000 0.0000 0.0000  2.43
5 Fe 0.0000 0.5000 0.0000  2.43

The offset from the most stable computed form comes out at 135 meV/atom.



Here is a geometry-optimized FeCo2RuN structure from Alexandria. Energies are from PBE.

abc: 3.7796 3.7796 3.9595
angles: 90.00 90.00 90.00
Each line ends with the local moment (μB).
Positions (direct):
1 Co 0.5000 0.0000 0.0000  1.35
2 Co 0.0000 0.5000 0.0000  1.35
3 N 0.0000 0.0000 0.0000  0.04
4 Ru 0.0000 0.0000 0.5000  0.57
5 Fe 0.5000 0.5000 0.5000  3.16

The offset from the most stable computed form comes out at 0 meV/atom.



Here is a geometry-optimized FeCo2RuN structure from Alexandria. Energies are from PBE.

abc: 3.7666 3.7666 3.8598
angles: 90.00 90.00 90.00
Each line ends with the local moment (μB).
Positions (direct):
1 Fe 0.0000 0.0000 0.5000  2.42
2 Co 0.0000 0.5000 0.0000  1.46
3 Co 0.5000 0.0000 0.0000  1.46
4 Ru 0.5000 0.5000 0.5000  1.42
5 N 0.0000 0.0000 0.0000  0.07

The offset from the most stable computed form comes out at 16 meV/atom.



Results for volume: 82.58 43.02 39.42 76.37 46.11 79.34 32.13 170.03 168.05 46.18 49.51 83.99 52.57 52.20 52.86 52.62 197.74 55.97 56.72 175.30 55.34 57.30 55.94 57.78 56.56 54.76 (in Å³/cell, following the order of the records).
Results for uncorrected energy: -60.03 -30.78 -31.98 -64.65 -40.02 -31.43 -28.75 -144.42 -140.86 -39.81 -39.96 -62.97 -36.52 -36.80 -35.04 -35.16 -167.27 -37.54 -39.17 -17.22 -38.36 -37.81 -39.97 -39.30 -39.64 -39.56 (in eV per cell, following the order of the records).